# 1
An optimized crystal structure of DySi2Tc4, computed with PBE.

The space group is Cmmm (No. 65) and the conventional cell measures 4.112, 13.759 and 4.084 Å, with angles of 90.00, 90.00 and 90.00 degrees. Symmetry generates all atoms from Dy at (0.000, 0.000, 0.000), Si at (0.000, 0.412, 0.500), Tc at (0.000, 0.189, 0.500) and Tc at (0.000, 0.305, 0.000).


# 2
An optimized crystal structure of DySi3Tc2, computed with PBE.

The space group is Cmcm (No. 63) and the conventional cell measures 9.293, 7.259 and 5.839 Å, with angles of 90.00, 90.00 and 90.00 degrees. Symmetry generates all atoms from Dy at (0.000, 0.156, 0.250), Si at (0.000, 0.454, 0.750), Si at (0.163, 0.208, 0.750) and Tc at (0.209, 0.500, 0.000).


# 3
An optimized crystal structure of Dy3Si4Tc4, computed with PBE.

The space group is Immm (No. 71) and the conventional cell measures 4.196, 6.766 and 13.715 Å, with angles of 90.00, 90.00 and 90.00 degrees. Symmetry generates all atoms from Dy at (0.000, 0.000, 0.000), Dy at (0.000, 0.500, 0.127), Si at (0.000, 0.000, 0.216), Si at (0.000, 0.187, 0.500) and Tc at (0.000, 0.308, 0.326).


# 4
An optimized crystal structure of Dy2Si3Tc2, computed with PBE.

The space group is C2/m (No. 12) and the conventional cell measures 11.247, 4.282 and 6.998 Å, with angles of 90.00, 127.78 and 90.00 degrees. Symmetry generates all atoms from Dy at (0.077, 0.000, 0.330), Si at (0.000, 0.500, 0.000), Si at (0.138, 0.500, 0.682) and Tc at (0.233, 0.500, 0.106).


# 5
An optimized crystal structure of Dy2Si2Tc, computed with PBE.

The space group is C2/m (No. 12) and the conventional cell measures 10.846, 4.177 and 10.112 Å, with angles of 90.00, 118.65 and 90.00 degrees. Symmetry generates all atoms from Dy at (0.006, 0.000, 0.178), Dy at (0.187, 0.000, 0.610), Si at (0.001, 0.500, 0.378), Si at (0.142, 0.500, 0.060) and Tc at (0.227, 0.500, 0.871).


# 6
An optimized crystal structure of Dy3Si3Tc, computed with PBE.

The space group is C2/m (No. 12) and the conventional cell measures 10.714, 4.196 and 13.687 Å, with angles of 90.00, 110.90 and 90.00 degrees. Symmetry generates all atoms from Dy at (0.020, 0.000, 0.375), Dy at (0.104, 0.000, 0.921), Dy at (0.245, 0.000, 0.229), Si at (0.052, 0.500, 0.236), Si at (0.109, 0.500, 0.074), Si at (0.134, 0.500, 0.542) and Tc at (0.244, 0.500, 0.411).


# 7
An optimized crystal structure of Dy2SiTc, computed with PBE.

The space group is R-3m (No. 166, hexagonal axes) and the conventional cell measures 3.2251, 3.2251 and 29.2087 Å, with angles of 90.00, 90.00 and 120.00 degrees. Symmetry generates all atoms from Dy at (0.0000, 0.0000, 0.0901), Si at (0.0000, 0.0000, 0.5000) and Tc at (0.0000, 0.0000, 0.0000).


# 8
An optimized crystal structure of Dy3Si5Te12, computed with PBE.

The space group is Ia-3d (No. 230) and the conventional cell measures 17.046, 17.046 and 17.046 Å, with angles of 90.00, 90.00 and 90.00 degrees. Symmetry generates all atoms from Dy at (0.000, 0.250, 0.125), Si at (0.000, 0.000, 0.000), Si at (0.000, 0.250, 0.375) and Te at (0.025, 0.061, 0.652).


Here are the calculated energy relative to the elements, uncorrected numbers, same order: -351 -323 -601 -409 -360 -517 176 -794 (kJ/mol of formula units).
Here are the calculated VASP energy numbers, same order: -8.65 -7.49 -7.56 -7.21 -6.83 -6.54 -5.79 -4.34 (eV/atom).